{"formula": "MnCrCuAu", "functional": "PBE", "state": "optimized geometry", "relative_energy_ev_per_fu": 0.82, "mass_density_g_cm3": 10.9, "e_form_ev_per_atom": 0.244, "lattice_angstrom": [[8.532, 0.000, 0.193], [0.000, 2.973, 0.000], [-1.051, 0.000, 4.393]], "species": ["Cr", "Cr", "Au", "Au", "Mn", "Mn", "Cu", "Cu"], "frac_coords": [[0.362, 0.500, 0.402], [0.362, 0.000, 0.902], [0.876, 0.000, 0.844], [0.876, 0.500, 0.344], [0.152, 0.000, 0.317], [0.152, 0.500, 0.817], [0.605, 0.500, 0.873], [0.605, 0.000, 0.373]]}